# MnCoNi, relaxed, DFT PBE-GGA
data_MnCoNi
_chemical_formula_sum 'Mn2 Co2 Ni2'
_symmetry_space_group_name_H-M 'I m m 2'
_symmetry_Int_Tables_number 44
_symmetry_space_group_name_Hall 'I 2 -2'
_cell_length_a 2.483
_cell_length_b 3.508
_cell_length_c 7.459
_cell_angle_alpha 90.00
_cell_angle_beta 90.00
_cell_angle_gamma 90.00
loop_
_atom_site_label
_atom_site_fract_x
_atom_site_fract_y
_atom_site_fract_z
_atom_site_occupancy
Mn1 0.000 0.000 0.000 1
Co1 0.000 0.000 0.337 1
Ni1 0.000 0.000 0.669 1
# * D(E_F): 1.297 states/eV/atom
# * E above lowest polymorph: 0.00 eV per formula unit